The following is a GGA+U calculation of a relaxed SmFe2WO6 crystal, from Alexandria. Values from VASP.

Size of the total moment (μB per cell): 7.00
DFT total energy (eV per atom): -7.4129
D(E_F) (states/eV/f.u.): 0.00
Symmetry: P1, No. 1

Structure (Quantum ESPRESSO input):
```
&SYSTEM
  ibrav = 0, nat = 10, ntyp = 4
/
ATOMIC_SPECIES
W 183.84 W.upf
O 16.00 O.upf
Fe 55.84 Fe.upf
Sm 150.36 Sm.upf
CELL_PARAMETERS angstrom
5.421 -0.006 -0.030
2.707 4.822 0.028
2.683 1.649 4.898
ATOMIC_POSITIONS crystal
W 0.319 0.323 0.043
O 0.391 0.704 0.765
O 0.935 0.579 0.240
Fe 0.535 0.526 0.424
Fe 0.028 0.011 0.943
O 0.219 0.944 0.234
Sm 0.809 0.815 0.580
O 0.562 0.239 0.247
O 0.710 0.130 0.778
O 0.151 0.392 0.761
```